The following is a DFT calculation (PBE-GGA) of KCoIr2 after structural relaxation.

CIF file:
```
data_KCoIr2
_chemical_formula_sum 'K3 Co3 Ir6'
_cell_length_a 2.7707
_cell_length_b 2.7707
_cell_length_c 29.8751
_cell_angle_alpha 90.00
_cell_angle_beta 90.00
_cell_angle_gamma 120.00
_symmetry_space_group_name_H-M 'R 3 m'
_symmetry_Int_Tables_number 160
_symmetry_space_group_name_Hall 'R 3 -2"'
loop_
_atom_site_label
_atom_site_type_symbol
_atom_site_fract_x
_atom_site_fract_y
_atom_site_fract_z
K1 K 0.0000 0.0000 0.0000
Co1 Co 0.0000 0.0000 0.7637
Ir1 Ir 0.0000 0.0000 0.2378
Ir2 Ir 0.0000 0.0000 0.4967
```

Results
Magnetic moment = 3.56 μB per cell
Calculated formation energy = 665 meV per atom
E_tot = -23.3 eV per formula unit

The following is a DFT calculation (PBE-GGA) of KCoIr2 after structural relaxation.

CIF file:
```
data_KCoIr2
_chemical_formula_sum 'K4 Co4 Ir8'
_cell_length_a 6.404
_cell_length_b 6.404
_cell_length_c 6.404
_cell_angle_alpha 90.00
_cell_angle_beta 90.00
_cell_angle_gamma 90.00
_symmetry_space_group_name_H-M 'F m -3 m'
_symmetry_Int_Tables_number 225
_symmetry_space_group_name_Hall '-F 4 2 3'
loop_
_atom_site_label
_atom_site_type_symbol
_atom_site_fract_x
_atom_site_fract_y
_atom_site_fract_z
K1 K 0.000 0.000 0.000
Co1 Co 0.000 0.000 0.500
Ir1 Ir 0.250 0.250 0.250
```

Results
Magnetic moment = 15.67 μB per cell
Calculated formation energy = 1346 meV per atom
E_tot = -20.5 eV per formula unit

The following is a DFT calculation (PBE-GGA) of KCoIr2 after structural relaxation.

CIF file:
```
data_KCoIr2
_chemical_formula_sum 'K2 Co2 Ir4'
_cell_length_a 2.849
_cell_length_b 4.649
_cell_length_c 9.887
_cell_angle_alpha 90.00
_cell_angle_beta 90.00
_cell_angle_gamma 90.00
_symmetry_space_group_name_H-M 'C m m m'
_symmetry_Int_Tables_number 65
_symmetry_space_group_name_Hall '-C 2 2'
loop_
_atom_site_label
_atom_site_type_symbol
_atom_site_fract_x
_atom_site_fract_y
_atom_site_fract_z
K1 K 0.000 0.000 0.000
Co1 Co 0.000 0.000 0.500
Ir1 Ir 0.000 0.500 0.288
```

Results
Magnetic moment = 6.25 μB per cell
Calculated formation energy = 607 meV per atom
E_tot = -23.5 eV per formula unit

The following is a DFT calculation (PBE-GGA) of KCoIr2 after structural relaxation.

CIF file:
```
data_KCoIr2
_chemical_formula_sum 'K1 Co1 Ir2'
_cell_length_a 2.742
_cell_length_b 2.742
_cell_length_c 8.871
_cell_angle_alpha 90.00
_cell_angle_beta 90.00
_cell_angle_gamma 90.00
_symmetry_space_group_name_H-M 'P 4/m m m'
_symmetry_Int_Tables_number 123
_symmetry_space_group_name_Hall '-P 4 2'
loop_
_atom_site_label
_atom_site_type_symbol
_atom_site_fract_x
_atom_site_fract_y
_atom_site_fract_z
K1 K 0.000 0.000 0.000
Co1 Co 0.000 0.000 0.500
Ir1 Ir 0.500 0.500 0.313
```

Results
Magnetic moment = 0.86 μB per cell
Calculated formation energy = 506 meV per atom
E_tot = -23.9 eV per formula unit

The following is a DFT calculation (PBE-GGA) of KCoIr2 after structural relaxation.

CIF file:
```
data_KCoIr2
_chemical_formula_sum 'K1 Co1 Ir2'
_cell_length_a 2.728
_cell_length_b 4.212
_cell_length_c 7.114
_cell_angle_alpha 90.00
_cell_angle_beta 101.00
_cell_angle_gamma 90.00
_symmetry_space_group_name_H-M 'P 1 m 1'
_symmetry_Int_Tables_number 6
loop_
_symmetry_equiv_pos_as_xyz
'x,y,z'
'x,-y,z'
loop_
_atom_site_label
_atom_site_type_symbol
_atom_site_fract_x
_atom_site_fract_y
_atom_site_fract_z
K1 K 0.000 0.000 0.000
Co1 Co 0.670 0.500 0.330
Ir1 Ir 0.322 0.500 0.635
Ir2 Ir 0.764 0.000 0.519
```

Results
Magnetic moment = 1.45 μB per cell
Calculated formation energy = 581 meV per atom
E_tot = -23.6 eV per formula unit

The following is a DFT calculation (PBE-GGA) of KCoIr2 after structural relaxation.

CIF file:
```
data_KCoIr2
_chemical_formula_sum 'K2 Co2 Ir4'
_cell_length_a 3.946
_cell_length_b 3.946
_cell_length_c 8.674
_cell_angle_alpha 90.00
_cell_angle_beta 90.00
_cell_angle_gamma 90.00
_symmetry_space_group_name_H-M 'I 4/m m m'
_symmetry_Int_Tables_number 139
_symmetry_space_group_name_Hall '-I 4 2'
loop_
_atom_site_label
_atom_site_type_symbol
_atom_site_fract_x
_atom_site_fract_y
_atom_site_fract_z
K1 K 0.000 0.000 0.000
Co1 Co 0.000 0.000 0.500
Ir1 Ir 0.000 0.500 0.250
```

Results
Magnetic moment = 6.73 μB per cell
Calculated formation energy = 1285 meV per atom
E_tot = -20.8 eV per formula unit

The following is a DFT calculation (PBE-GGA) of KCoIr2 after structural relaxation.

CIF file:
```
data_KCoIr2
_chemical_formula_sum 'K2 Co2 Ir4'
_cell_length_a 2.787
_cell_length_b 4.722
_cell_length_c 10.111
_cell_angle_alpha 90.00
_cell_angle_beta 90.00
_cell_angle_gamma 90.00
_symmetry_space_group_name_H-M 'C m m 2'
_symmetry_Int_Tables_number 35
loop_
_symmetry_equiv_pos_as_xyz
'x,y,z'
'-x,-y,z'
'-x,y,z'
'x,-y,z'
'x+1/2,y+1/2,z'
'-x+1/2,-y+1/2,z'
'-x+1/2,y+1/2,z'
'x+1/2,-y+1/2,z'
loop_
_atom_site_label
_atom_site_type_symbol
_atom_site_fract_x
_atom_site_fract_y
_atom_site_fract_z
K1 K 0.000 0.000 0.000
Co1 Co 0.000 0.500 0.286
Ir1 Ir 0.000 0.000 0.492
Ir2 Ir 0.000 0.500 0.722
```

Results
Magnetic moment = 3.72 μB per cell
Calculated formation energy = 790 meV per atom
E_tot = -22.8 eV per formula unit

The following is a DFT calculation (PBE-GGA) of KCoIr2 after structural relaxation.

CIF file:
```
data_KCoIr2
_chemical_formula_sum 'K1 Co1 Ir2'
_cell_length_a 2.697
_cell_length_b 4.851
_cell_length_c 5.080
_cell_angle_alpha 90.00
_cell_angle_beta 90.00
_cell_angle_gamma 90.00
_symmetry_space_group_name_H-M 'P m m m'
_symmetry_Int_Tables_number 47
loop_
_symmetry_equiv_pos_as_xyz
'x,y,z'
'-x,-y,-z'
'-x,-y,z'
'x,y,-z'
'x,-y,-z'
'-x,y,z'
'-x,y,-z'
'x,-y,z'
loop_
_atom_site_label
_atom_site_type_symbol
_atom_site_fract_x
_atom_site_fract_y
_atom_site_fract_z
K1 K 0.000 0.000 0.000
Co1 Co 0.500 0.500 0.000
Ir1 Ir 0.000 0.500 0.500
Ir2 Ir 0.500 0.000 0.500
```

Results
Magnetic moment = 2.59 μB per cell
Calculated formation energy = 993 meV per atom
E_tot = -22.0 eV per formula unit